{"formula": "MgW2O4", "functional": "PBE+U", "state": "relaxed", "lattice_angstrom": [[0.0000, 4.5263, 4.5263], [4.5263, 0.0000, 4.5263], [4.5263, 4.5263, 0.0000]], "species": ["Mg", "Mg", "W", "W", "W", "W", "O", "O", "O", "O", "O", "O", "O", "O"], "frac_coords": [[0.1250, 0.1250, 0.1250], [0.8750, 0.8750, 0.8750], [0.0000, 0.5000, 0.5000], [0.5000, 0.0000, 0.5000], [0.5000, 0.5000, 0.0000], [0.5000, 0.5000, 0.5000], [0.2567, 0.2567, 0.2567], [0.2567, 0.2567, 0.7299], [0.2567, 0.7299, 0.2567], [0.2701, 0.7433, 0.7433], [0.7299, 0.2567, 0.2567], [0.7433, 0.2701, 0.7433], [0.7433, 0.7433, 0.2701], [0.7433, 0.7433, 0.7433]], "space_group": "Fd-3m", "polymorph_energy_mev_per_atom": 0}